PBE Sm5GaSn4, relaxed; uncorrected energy = -4.75 eV/atom; SG = I4
1.0
-3.571 0.198 -5.184
-6.968 -3.127 0.855
-4.332 6.319 -0.600
Sm Ga Sn
5 1 4
Cartesian
-9.416 3.994 -4.745
-9.212 1.355 -1.160
-5.572 2.030 -3.642
-5.368 -0.608 -0.058
-1.968 0.109 -2.857
-0.242 0.013 -0.351
-7.615 3.891 -2.143
-10.985 1.461 -3.740
-3.779 1.923 -1.035
-7.150 -0.507 -2.632

PBE ThZn3In3, relaxed; uncorrected energy = -2.34 eV/atom; SG = Pm-3n
1.0
-4.633 5.555 -0.071
-0.235 -0.104 7.229
5.550 4.633 0.247
Zn Th In
6 2 6
Cartesian
2.716 2.290 1.931
2.599 2.239 5.545
1.846 6.252 0.150
-3.592 4.114 3.561
-0.929 3.936 0.026
-1.276 1.337 3.597
0.341 5.042 3.703
0.000 0.000 0.000
1.617 3.705 0.106
1.270 1.106 3.676
-2.493 2.700 5.386
-0.700 6.482 0.070
4.045 3.423 3.800
-2.375 2.752 1.772

PBE Li4U3NiS8, relaxed; uncorrected energy = -6.24 eV/atom; SG = C2/m
1.0
7.501 0.000 0.000
0.000 7.603 0.060
-3.750 -3.750 5.314
Li U Ni S
4 3 1 8
Cartesian
3.750 0.000 0.000
1.875 -1.875 2.657
0.000 0.000 0.000
-1.875 -1.875 2.657
3.750 3.801 0.030
1.875 1.926 2.687
-1.875 1.926 2.687
0.000 3.801 0.030
1.804 5.659 0.063
0.000 3.855 2.638
0.000 -0.049 2.622
5.697 5.659 0.063
-1.946 -1.807 5.311
3.750 3.902 2.753
3.750 -0.002 2.736
1.946 -1.807 5.311

PBE CaHfZr2, relaxed; SG = I-42d; polymorph energy (0 for the lowest one) = 362 meV per atom
1.0
8.071 0.000 0.000
0.000 8.071 0.000
4.035 4.035 3.150
Ca Hf Zr
2 2 4
Cartesian
4.035 4.035 0.000
4.035 8.071 1.575
0.000 0.000 0.000
8.071 4.035 1.575
6.116 2.018 0.787
1.955 6.053 0.787
6.053 5.990 2.362
10.089 10.151 2.362

PBE LaDy5Ho7, relaxed; uncorrected energy = -4.37 eV/atom; SG = Imm2
1.0
-2.793 -5.887 1.360
-2.587 -4.189 -7.156
5.737 -6.519 -0.148
La Dy Ho
1 5 7
Cartesian
-2.614 -6.033 1.098
1.169 -6.161 0.644
2.648 -3.044 -0.076
-2.677 -5.084 -2.594
-1.198 -1.968 -3.313
0.137 -12.340 -4.267
-0.275 -7.930 -2.311
1.547 -9.407 -4.966
2.866 -5.655 -2.306
0.059 -4.869 -4.669
0.001 -4.077 -1.357
-2.692 -7.432 -5.122
2.817 -8.975 -0.484

PBE TiFeSb2, relaxed; SG = I-42d; polymorph energy (0 for the lowest one) = 311 meV per atom
1.0
-3.729 1.632 1.416
-1.687 -3.964 0.128
0.080 -2.082 9.168
Sb Fe Ti
4 2 2
Cartesian
-2.593 0.036 3.220
-1.429 -2.825 2.522
-1.939 -2.360 7.453
-4.711 -3.678 8.230
0.000 0.000 0.000
-3.179 -0.808 5.678
-2.708 -1.166 0.772
-2.157 -3.606 5.034

PBE Pu4GeBi, relaxed; uncorrected energy = -11.02 eV/atom; SG = Immm
1.0
-2.016 -0.327 -4.646
3.080 -3.658 -3.846
-5.162 -3.305 -0.293
Pu Ge Bi
4 1 1
Cartesian
-4.432 -5.366 -6.005
-1.715 -5.482 -7.176
0.333 -1.924 -2.779
-2.384 -1.807 -1.608
-2.049 -3.645 -4.392
-2.016 -0.327 -4.646

PBE Cr2MoRu, relaxed; uncorrected energy = -9.65 eV/atom; SG = Cmm2
1.0
-2.216 -0.098 -1.427
0.397 -2.264 1.293
-4.294 2.937 6.464
Cr Mo Ru
2 1 1
Cartesian
-0.049 0.034 0.074
-1.916 -0.493 1.448
-2.105 1.440 3.170
-4.189 1.062 4.870